Crystalline Ho2TiHg at its relaxed geometry, computed with PBE.

## Properties
- magnetic moment (Bohr magnetons per cell) = 0.0
- calculated formation energy (eV/atom) = -0.118
- distance to the lowest polymorph of the same formula (meV/atom) = 0
- calculated volume (Å³/f.u.) = 98

```
data_Ho2TiHg
_symmetry_space_group_name_H-M 'P 4/m m m'
_symmetry_Int_Tables_number 123
_symmetry_space_group_name_Hall '-P 4 2'
_cell_length_a 3.423
_cell_length_b 3.423
_cell_length_c 8.404
_cell_angle_alpha 90.00
_cell_angle_beta 90.00
_cell_angle_gamma 90.00
loop_
_atom_site_label
_atom_site_fract_x
_atom_site_fract_y
_atom_site_fract_z
_atom_site_occupancy
Ho1 0.000 0.000 0.246 1
Ti1 0.500 0.500 0.000 1
Hg1 0.500 0.500 0.500 1
```